# 1
Below is a geometry-optimized LaTl2Cr structure, with properties calculated at the PBE level.

Unit cell a=6.575 b=6.575 c=4.862 alpha=68.29 beta=68.29 gamma=34.81
Site moments in Bohr magnetons follow the coordinates.
Atoms (fractional coordinates):
Cr 0.487 0.487 0.513  3.80
La 0.212 0.212 0.288  0.02
Tl 0.001 0.001 0.999  -0.03
Tl 0.800 0.800 0.700  0.01

Summary:
Space group = Imm2 (44)
Total magnetization = 4.26 μB/cell
Energy relative to the elements = 77 kJ/mol of formula units
DFT total energy = -4.62 eV per atom



# 2
Below is a geometry-optimized Li6P2Rh structure, with properties calculated at the PBE level.

Unit cell a=6.757 b=6.097 c=10.289 alpha=53.66 beta=70.78 gamma=90.00
Atoms (fractional coordinates):
P 0.020 0.728 0.275
P 0.480 0.278 0.225
P 0.980 0.272 0.725
P 0.520 0.722 0.775
Rh 0.000 0.000 0.000
Rh 0.500 0.000 0.500
Li 0.721 0.793 0.929
Li 0.779 0.651 0.571
Li 0.279 0.207 0.071
Li 0.221 0.349 0.429
Li 0.278 0.655 0.073
Li 0.222 0.800 0.427
Li 0.722 0.345 0.927
Li 0.778 0.200 0.573
Li 0.769 0.030 0.243
Li 0.731 0.516 0.257
Li 0.231 0.970 0.757
Li 0.269 0.484 0.743

Summary:
Space group = P2_1/c (14)
Total magnetization = 0.00 μB/cell
Energy relative to the elements = -414 kJ/mol of formula units
DFT total energy = -3.77 eV per atom
Energy above the most stable polymorph in this dataset = 0.00 eV per formula unit



# 3
Below is a geometry-optimized Ac2Ge3Pd4Rh structure, with properties calculated at the PBE level.

Unit cell a=4.386 b=4.386 c=10.667 alpha=90.00 beta=90.00 gamma=90.00
Atoms (fractional coordinates):
Ac 0.500 0.000 0.260
Ac 0.000 0.500 0.740
Ge 0.000 0.000 0.500
Ge 0.500 0.000 0.879
Ge 0.000 0.500 0.121
Pd 0.500 0.500 0.000
Pd 0.000 0.000 0.000
Pd 0.500 0.000 0.644
Pd 0.000 0.500 0.356
Rh 0.500 0.500 0.500

Summary:
Space group = P-4m2 (115)
Total magnetization = 0.00 μB/cell
Energy relative to the elements = -691 kJ/mol of formula units
DFT total energy = -5.74 eV per atom



# 4
Below is a geometry-optimized Ca4Bi2N structure, with properties calculated at the PBE level.

Unit cell a=4.863 b=4.863 c=8.860 alpha=74.07 beta=74.07 gamma=90.00
Atoms (fractional coordinates):
Ca 0.154 0.154 0.692
Ca 0.846 0.846 0.308
Ca 0.000 0.500 0.000
Ca 0.500 0.000 0.000
Bi 0.356 0.356 0.287
Bi 0.644 0.644 0.713
N 0.000 0.000 0.000

Summary:
Space group = I4/mmm (139)
Total magnetization = 0.00 μB/cell
Formation energy without anion corrections = -0.901 eV per atom
DFT total energy = -4.34 eV per atom
Energy above the most stable polymorph in this dataset = 0.00 eV per formula unit



# 5
Below is a geometry-optimized PmGdBr structure, with properties calculated at the PBE level.

Unit cell a=3.798 b=3.798 c=7.409 alpha=90.00 beta=90.00 gamma=120.00
Site moments in Bohr magnetons follow the coordinates.
Atoms (fractional coordinates):
Gd 0.333 0.667 0.647  7.17
Br 0.667 0.333 0.336  0.00
Pm 0.000 0.000 0.016  0.06

Summary:
Space group = P3m1 (156)
Total magnetization = 7.59 μB/cell
Formation energy without anion corrections = -0.763 eV per atom
DFT total energy = -7.60 eV per atom



# 6
Below is a geometry-optimized RbI2F7 structure, with properties calculated at the PBE level.

Unit cell a=4.710 b=6.839 c=7.855 alpha=115.81 beta=90.00 gamma=90.00
Atoms (fractional coordinates):
Rb 0.000 0.000 0.000
I 0.500 0.659 0.318
I 0.500 0.341 0.682
F 0.000 0.649 0.298
F 0.000 0.351 0.702
F 0.500 0.652 0.713
F 0.500 0.348 0.287
F 0.500 0.939 0.287
F 0.500 0.061 0.713
F 0.500 0.500 0.000

Summary:
Space group = Cmmm (65)
Total magnetization = 0.00 μB/cell
Formation energy without anion corrections = -1.512 eV per atom
DFT total energy = -3.23 eV per atom



# 7
Below is a geometry-optimized ZrCoAu4 structure, with properties calculated at the PBE level.

Unit cell a=5.411 b=5.411 c=5.411 alpha=60.00 beta=60.00 gamma=60.00
Site moments in Bohr magnetons follow the coordinates.
Atoms (fractional coordinates):
Zr 0.000 0.000 0.000  -0.38
Co 0.750 0.750 0.750  1.71
Au 0.874 0.375 0.375  -0.04
Au 0.375 0.375 0.874  -0.04
Au 0.375 0.874 0.375  -0.04
Au 0.375 0.375 0.375  -0.04

Summary:
Space group = F-43m (216)
Total magnetization = 0.92 μB/cell
Energy relative to the elements = 74 kJ/mol of formula units
DFT total energy = -4.67 eV per atom